[1]
Mg44Rh7 | Alexandria via LeMat-Bulk | PBE-GGA | optimized geometry; calculated volume = 2044 Å³/cell; formation enthalpy at 0 K = -228 meV per atom
1.0
0.000 10.074 10.074
10.074 0.000 10.074
10.074 10.074 0.000
Mg Rh
88 14
Direct
0.065 0.312 0.312
0.085 0.456 0.729
0.085 0.729 0.456
0.085 0.729 0.729
0.088 0.088 0.308
0.088 0.088 0.517
0.088 0.308 0.088
0.088 0.308 0.517
0.088 0.517 0.088
0.088 0.517 0.308
0.106 0.106 0.894
0.106 0.894 0.106
0.106 0.894 0.894
0.222 0.470 0.470
0.222 0.470 0.839
0.222 0.839 0.470
0.231 0.231 0.658
0.231 0.231 0.880
0.231 0.658 0.231
0.231 0.658 0.880
0.231 0.880 0.231
0.231 0.880 0.658
0.250 0.583 0.583
0.308 0.088 0.088
0.308 0.088 0.517
0.308 0.517 0.088
0.312 0.065 0.312
0.312 0.312 0.065
0.312 0.312 0.312
0.320 0.750 0.965
0.320 0.965 0.750
0.320 0.965 0.965
0.446 0.446 0.446
0.446 0.446 0.662
0.446 0.662 0.446
0.456 0.085 0.729
0.456 0.729 0.085
0.456 0.729 0.729
0.470 0.222 0.470
0.470 0.222 0.839
0.470 0.470 0.222
0.470 0.470 0.839
0.470 0.839 0.222
0.470 0.839 0.470
0.517 0.088 0.088
0.517 0.088 0.308
0.517 0.308 0.088
0.568 0.568 0.932
0.568 0.932 0.568
0.568 0.932 0.932
0.583 0.250 0.583
0.583 0.583 0.250
0.583 0.583 0.583
0.658 0.231 0.231
0.658 0.231 0.880
0.658 0.880 0.231
0.662 0.446 0.446
0.698 0.698 0.698
0.698 0.698 0.907
0.698 0.907 0.698
0.729 0.085 0.456
0.729 0.085 0.729
0.729 0.456 0.085
0.729 0.456 0.729
0.729 0.729 0.085
0.729 0.729 0.456
0.750 0.320 0.965
0.750 0.965 0.320
0.750 0.965 0.965
0.839 0.222 0.470
0.839 0.470 0.222
0.839 0.470 0.470
0.880 0.231 0.231
0.880 0.231 0.658
0.880 0.658 0.231
0.894 0.106 0.106
0.894 0.106 0.894
0.894 0.894 0.106
0.907 0.698 0.698
0.932 0.568 0.568
0.932 0.568 0.932
0.932 0.932 0.568
0.965 0.320 0.750
0.965 0.320 0.965
0.965 0.750 0.320
0.965 0.750 0.965
0.965 0.965 0.320
0.965 0.965 0.750
0.099 0.099 0.099
0.099 0.099 0.704
0.099 0.704 0.099
0.336 0.336 0.664
0.336 0.664 0.336
0.336 0.664 0.664
0.501 0.833 0.833
0.664 0.336 0.336
0.664 0.336 0.664
0.664 0.664 0.336
0.704 0.099 0.099
0.833 0.501 0.833
0.833 0.833 0.501
0.833 0.833 0.833

[2]
Mg5Rh | Alexandria via LeMat-Bulk | PBE-GGA | optimized geometry; energy above the most stable polymorph in this dataset = 3.4 kJ per mole of atoms; calculated volume = 259 Å³/cell; formation enthalpy at 0 K = -186 meV per atom
1.0
9.214 0.000 0.000
0.000 3.971 0.000
0.000 0.000 7.081
Mg Rh
10 2
Direct
0.000 0.000 0.000
0.078 0.500 0.314
0.250 0.000 0.579
0.250 0.500 0.926
0.422 0.500 0.314
0.500 0.000 0.000
0.578 0.500 0.686
0.750 0.000 0.421
0.750 0.500 0.074
0.922 0.500 0.686
0.250 0.000 0.188
0.750 0.000 0.812

[3]
Mg5Rh | Alexandria via LeMat-Bulk | PBE-GGA | optimized geometry; energy above the most stable polymorph in this dataset = 1.2 kJ per mole of atoms; calculated volume = 119 Å³/cell; formation enthalpy at 0 K = -209 meV per atom
1.0
3.250 0.000 0.000
0.000 3.250 0.000
0.000 0.000 11.290
Mg Rh
5 1
Direct
0.000 0.000 0.000
0.000 0.000 0.373
0.000 0.000 0.627
0.500 0.500 0.187
0.500 0.500 0.813
0.500 0.500 0.500

[4]
Mg8Rh | Alexandria via LeMat-Bulk | PBE-GGA | optimized geometry; calculated volume = 184 Å³/cell; formation enthalpy at 0 K = -124 meV per atom
1.0
-5.075 5.075 1.786
5.075 -5.075 1.786
5.075 5.075 -1.786
Mg Rh
8 1
Direct
0.000 0.330 0.330
0.000 0.670 0.670
0.330 0.000 0.330
0.350 0.350 0.700
0.350 0.650 0.000
0.650 0.350 0.000
0.650 0.650 0.300
0.670 0.000 0.670
0.000 0.000 0.000

[5]
Mg5Rh | Alexandria via LeMat-Bulk | PBE-GGA | optimized geometry; energy above the most stable polymorph in this dataset = 51.3 kJ per mole of atoms; calculated volume = 129 Å³/cell; formation enthalpy at 0 K = 310 meV per atom
1.0
5.417 0.000 0.000
-2.708 4.691 0.000
0.000 0.000 5.058
Mg Rh
5 1
Direct
0.000 0.500 0.000
0.333 0.667 0.500
0.500 0.000 0.000
0.500 0.500 0.000
0.667 0.333 0.500
0.000 0.000 0.500

[6]
Mg3Rh2 | Alexandria via LeMat-Bulk | PBE-GGA | optimized geometry; calculated volume = 253 Å³/cell; formation enthalpy at 0 K = -246 meV per atom
1.0
2.994 0.000 0.000
-1.497 2.593 0.000
0.000 0.000 32.637
Mg Rh
9 6
Direct
0.000 0.000 0.000
0.000 0.000 0.208
0.000 0.000 0.792
0.333 0.667 0.459
0.333 0.667 0.667
0.333 0.667 0.875
0.667 0.333 0.125
0.667 0.333 0.333
0.667 0.333 0.541
0.000 0.000 0.397
0.000 0.000 0.603
0.333 0.667 0.063
0.333 0.667 0.270
0.667 0.333 0.730
0.667 0.333 0.937